Entry 1:
KAsI5, optimized geometry, DFT GGA-PBE; M_tot = 0.00 μB per formula unit; symmetry = C2/c; calculated density = 4.099 g/cm3; formation energy from raw total energies = -0.40 eV/atom
1.0
5.603 -4.913 0.000
5.603 4.913 0.000
-0.549 0.000 11.015
K As I
2 2 10
Direct
0.044 0.956 0.750
0.956 0.044 0.250
0.500 0.500 0.000
0.500 0.500 0.500
0.146 0.691 0.447
0.172 0.326 0.011
0.309 0.854 0.053
0.326 0.172 0.511
0.407 0.593 0.750
0.593 0.407 0.250
0.674 0.828 0.489
0.691 0.146 0.947
0.828 0.674 0.989
0.854 0.309 0.553

---

Entry 2:
K2AsI4, optimized geometry, DFT GGA-PBE; M_tot = 1.00 μB per formula unit; symmetry = I-42m; calculated density = 3.401 g/cm3; formation energy from raw total energies = -0.81 eV/atom
1.0
-4.183 4.183 4.610
4.183 -4.183 4.610
4.183 4.183 -4.610
K As I
2 1 4
Direct
0.250 0.750 0.500
0.750 0.250 0.500
0.000 0.000 0.000
0.241 0.241 0.485
0.244 0.759 0.000
0.756 0.756 0.515
0.759 0.244 0.000

---

Entry 3:
K3As5I12, optimized geometry, DFT GGA-PBE; M_tot = 0.00 μB per formula unit; symmetry = Ia-3d; calculated density = 3.522 g/cm3; formation energy from raw total energies = -0.29 eV/atom
1.0
-9.830 9.830 9.830
9.830 -9.830 9.830
9.830 9.830 -9.830
K As I
12 20 48
Direct
0.125 0.250 0.375
0.125 0.375 0.750
0.250 0.375 0.125
0.250 0.875 0.625
0.375 0.125 0.250
0.375 0.750 0.125
0.625 0.250 0.875
0.625 0.875 0.750
0.750 0.125 0.375
0.750 0.625 0.875
0.875 0.625 0.250
0.875 0.750 0.625
0.000 0.000 0.000
0.000 0.000 0.500
0.000 0.500 0.000
0.000 0.500 0.500
0.125 0.750 0.875
0.125 0.875 0.250
0.250 0.125 0.875
0.250 0.625 0.375
0.375 0.250 0.625
0.375 0.625 0.750
0.500 0.000 0.000
0.500 0.000 0.500
0.500 0.500 0.000
0.500 0.500 0.500
0.625 0.375 0.250
0.625 0.750 0.375
0.750 0.375 0.625
0.750 0.875 0.125
0.875 0.125 0.750
0.875 0.250 0.125
0.000 0.180 0.105
0.000 0.320 0.895
0.000 0.680 0.105
0.000 0.820 0.895
0.075 0.680 0.680
0.075 0.895 0.395
0.105 0.000 0.180
0.105 0.000 0.680
0.105 0.605 0.425
0.105 0.605 0.925
0.180 0.105 0.000
0.180 0.180 0.575
0.180 0.500 0.605
0.180 0.575 0.180
0.320 0.320 0.925
0.320 0.500 0.395
0.320 0.895 0.000
0.320 0.925 0.320
0.395 0.075 0.895
0.395 0.320 0.500
0.395 0.575 0.895
0.395 0.820 0.500
0.425 0.105 0.605
0.425 0.820 0.820
0.500 0.395 0.320
0.500 0.395 0.820
0.500 0.605 0.180
0.500 0.605 0.680
0.575 0.180 0.180
0.575 0.895 0.395
0.605 0.180 0.500
0.605 0.425 0.105
0.605 0.680 0.500
0.605 0.925 0.105
0.680 0.075 0.680
0.680 0.105 0.000
0.680 0.500 0.605
0.680 0.680 0.075
0.820 0.425 0.820
0.820 0.500 0.395
0.820 0.820 0.425
0.820 0.895 0.000
0.895 0.000 0.320
0.895 0.000 0.820
0.895 0.395 0.075
0.895 0.395 0.575
0.925 0.105 0.605
0.925 0.320 0.320

---

Entry 4:
KAsI3, optimized geometry, DFT GGA-PBE; M_tot = 1.00 μB per formula unit; symmetry = Pm-3m; calculated density = 2.837 g/cm3; formation energy from raw total energies = 0.37 eV/atom
1.0
6.615 0.000 0.000
0.000 6.615 0.000
0.000 0.000 6.615
K As I
1 1 3
Direct
0.000 0.000 0.000
0.500 0.500 0.500
0.000 0.000 0.500
0.000 0.500 0.000
0.500 0.000 0.000

---

Entry 5:
K2As2I, optimized geometry, DFT GGA-PBE; M_tot = 0.70 μB per formula unit; symmetry = I4/mmm; calculated density = 2.913 g/cm3; formation energy from raw total energies = -0.45 eV/atom
1.0
-3.198 3.198 4.945
3.198 -3.198 4.945
3.198 3.198 -4.945
K As I
2 2 1
Direct
0.250 0.750 0.500
0.750 0.250 0.500
0.111 0.111 0.000
0.889 0.889 0.000
0.500 0.500 0.000

---

Entry 6:
KAs2I, optimized geometry, DFT GGA-PBE; M_tot = 0.00 μB per formula unit; symmetry = I-42d; calculated density = 4.207 g/cm3; formation energy from raw total energies = 0.29 eV/atom
1.0
-4.521 4.521 3.050
4.521 -4.521 3.050
4.521 4.521 -3.050
K As I
2 4 2
Direct
0.000 0.000 0.000
0.750 0.250 0.500
0.157 0.625 0.032
0.375 0.407 0.532
0.593 0.125 0.968
0.875 0.843 0.468
0.250 0.750 0.500
0.500 0.500 0.000

---

Entry 7:
K2As2I, optimized geometry, DFT GGA-PBE; M_tot = 0.00 μB per formula unit; symmetry = P4/mbm; calculated density = 3.272 g/cm3; formation energy from raw total energies = -0.57 eV/atom
1.0
9.006 0.000 0.000
0.000 9.006 0.000
0.000 0.000 4.442
K As I
4 4 2
Direct
0.202 0.298 0.000
0.298 0.798 0.000
0.702 0.202 0.000
0.798 0.702 0.000
0.087 0.587 0.500
0.413 0.087 0.500
0.587 0.913 0.500
0.913 0.413 0.500
0.000 0.000 0.500
0.500 0.500 0.500

---

Entry 8:
K2As2I7, optimized geometry, DFT GGA-PBE; M_tot = 0.00 μB per formula unit; symmetry = C2/m; calculated density = 3.271 g/cm3; formation energy from raw total energies = -0.53 eV/atom
1.0
5.123 -8.560 0.000
5.123 8.560 0.000
-1.270 0.000 6.461
K As I
2 2 7
Direct
0.209 0.791 0.000
0.791 0.209 0.000
0.248 0.248 0.626
0.752 0.752 0.374
0.087 0.412 0.722
0.097 0.097 0.255
0.412 0.087 0.722
0.500 0.500 0.500
0.588 0.913 0.278
0.903 0.903 0.745
0.913 0.588 0.278

---

Entry 9:
K12As3I5, optimized geometry, DFT GGA-PBE; M_tot = 2.10 μB per formula unit; symmetry = Ia-3d; calculated density = 2.192 g/cm3; formation energy from raw total energies = -0.77 eV/atom
1.0
-10.021 10.021 10.021
10.021 -10.021 10.021
10.021 10.021 -10.021
K As I
48 12 20
Direct
0.066 0.234 0.141
0.066 0.332 0.924
0.076 0.641 0.407
0.076 0.934 0.668
0.093 0.734 0.668
0.093 0.859 0.424
0.141 0.066 0.234
0.141 0.576 0.907
0.168 0.234 0.593
0.168 0.434 0.576
0.234 0.141 0.066
0.234 0.593 0.168
0.266 0.332 0.907
0.266 0.434 0.359
0.332 0.907 0.266
0.332 0.924 0.066
0.359 0.266 0.434
0.359 0.593 0.924
0.407 0.076 0.641
0.407 0.832 0.766
0.424 0.093 0.859
0.424 0.832 0.566
0.434 0.359 0.266
0.434 0.576 0.168
0.566 0.424 0.832
0.566 0.641 0.734
0.576 0.168 0.434
0.576 0.907 0.141
0.593 0.168 0.234
0.593 0.924 0.359
0.641 0.407 0.076
0.641 0.734 0.566
0.668 0.076 0.934
0.668 0.093 0.734
0.734 0.566 0.641
0.734 0.668 0.093
0.766 0.407 0.832
0.766 0.859 0.934
0.832 0.566 0.424
0.832 0.766 0.407
0.859 0.424 0.093
0.859 0.934 0.766
0.907 0.141 0.576
0.907 0.266 0.332
0.924 0.066 0.332
0.924 0.359 0.593
0.934 0.668 0.076
0.934 0.766 0.859
0.125 0.250 0.375
0.125 0.375 0.750
0.250 0.375 0.125
0.250 0.875 0.625
0.375 0.125 0.250
0.375 0.750 0.125
0.625 0.250 0.875
0.625 0.875 0.750
0.750 0.125 0.375
0.750 0.625 0.875
0.875 0.625 0.250
0.875 0.750 0.625
0.000 0.000 0.000
0.000 0.000 0.500
0.000 0.500 0.000
0.000 0.500 0.500
0.125 0.750 0.875
0.125 0.875 0.250
0.250 0.125 0.875
0.250 0.625 0.375
0.375 0.250 0.625
0.375 0.625 0.750
0.500 0.000 0.000
0.500 0.000 0.500
0.500 0.500 0.000
0.500 0.500 0.500
0.625 0.375 0.250
0.625 0.750 0.375
0.750 0.375 0.625
0.750 0.875 0.125
0.875 0.125 0.750
0.875 0.250 0.125

---

Entry 10:
KAs2I6, optimized geometry, DFT GGA-PBE; M_tot = 0.00 μB per formula unit; symmetry = C2/c; calculated density = 3.199 g/cm3; formation energy from raw total energies = -0.39 eV/atom
1.0
7.559 -6.779 0.000
7.559 6.779 0.000
-6.670 0.000 9.626
K As I
2 4 12
Direct
0.082 0.918 0.750
0.918 0.082 0.250
0.328 0.419 0.788
0.419 0.328 0.288
0.581 0.672 0.712
0.672 0.581 0.212
0.131 0.599 0.829
0.137 0.166 0.617
0.166 0.137 0.117
0.359 0.410 0.541
0.401 0.869 0.671
0.410 0.359 0.041
0.590 0.641 0.959
0.599 0.131 0.329
0.641 0.590 0.459
0.834 0.863 0.883
0.863 0.834 0.383
0.869 0.401 0.171

---

Entry 11:
KLi2AsI, optimized geometry, DFT GGA-PBE; M_tot = 1.00 μB per formula unit; symmetry = P4/mmm; calculated density = 2.450 g/cm3; formation energy from raw total energies = -0.23 eV/atom
1.0
5.198 0.000 0.000
0.000 5.198 0.000
0.000 0.000 6.393
K Li As I
1 2 1 1
Direct
0.000 0.000 0.000
0.000 0.500 0.500
0.500 0.000 0.500
0.500 0.500 0.000
0.000 0.000 0.500

---

Entry 12:
KMnAsI6, optimized geometry, DFT GGA-PBE; M_tot = 5.00 μB per formula unit; symmetry = P312; calculated density = 4.006 g/cm3; formation energy from raw total energies = -0.53 eV/atom
1.0
7.501 0.000 0.000
-3.750 6.496 0.000
0.000 0.000 7.915
K Mn As I
1 1 1 6
Direct
0.000 0.000 0.000
0.333 0.667 0.500
0.667 0.333 0.500
0.000 0.370 0.710
0.000 0.630 0.290
0.370 0.000 0.710
0.370 0.370 0.290
0.630 0.000 0.290
0.630 0.630 0.710

---

Entry 13:
KAsI2N, optimized geometry, DFT GGA-PBE; M_tot = 0.00 μB per formula unit; symmetry = P4/mmm; calculated density = 4.097 g/cm3; formation energy from raw total energies = 0.02 eV/atom
1.0
6.450 0.000 0.000
0.000 6.450 0.000
0.000 0.000 3.720
K As I N
1 1 2 1
Direct
0.000 0.000 0.000
0.500 0.500 0.500
0.000 0.500 0.500
0.500 0.000 0.500
0.500 0.500 0.000

---

Entry 14:
KAsI2N, optimized geometry, DFT GGA-PBE; M_tot = 0.00 μB per formula unit; symmetry = P4/mmm; calculated density = 3.653 g/cm3; formation energy from raw total energies = 1.57 eV/atom
1.0
6.225 0.000 0.000
0.000 6.225 0.000
0.000 0.000 4.480
K As I N
1 1 2 1
Direct
0.000 0.000 0.000
0.500 0.500 0.500
0.000 0.500 0.000
0.500 0.000 0.000
0.000 0.000 0.500

---

Entry 15:
K2AsIN, optimized geometry, DFT GGA-PBE; M_tot = 1.43 μB per formula unit; symmetry = P4/mmm; calculated density = 2.675 g/cm3; formation energy from raw total energies = 0.59 eV/atom
1.0
6.646 0.000 0.000
0.000 6.646 0.000
0.000 0.000 4.132
K As I N
2 1 1 1
Direct
0.000 0.500 0.000
0.500 0.000 0.000
0.000 0.000 0.500
0.500 0.500 0.000
0.500 0.500 0.500

---

Entry 16:
K2AsIO6, optimized geometry, DFT GGA-PBE; M_tot = 0.00 μB per formula unit; symmetry = Fm-3m; calculated density = 4.884 g/cm3; formation energy from raw total energies = -0.92 eV/atom
1.0
0.000 3.998 3.998
3.998 0.000 3.998
3.998 3.998 0.000
K As I O
2 1 1 6
Direct
0.250 0.250 0.250
0.750 0.750 0.750
0.000 0.000 0.000
0.500 0.500 0.500
0.241 0.241 0.759
0.241 0.759 0.241
0.241 0.759 0.759
0.759 0.241 0.241
0.759 0.241 0.759
0.759 0.759 0.241

---

Entry 17:
K2AsPI, optimized geometry, DFT GGA-PBE; M_tot = 2.82 μB per formula unit; symmetry = P4/mmm; calculated density = 2.197 g/cm3; formation energy from raw total energies = 0.25 eV/atom
1.0
6.458 0.000 0.000
0.000 6.458 0.000
0.000 0.000 5.636
K As P I
2 1 1 1
Direct
0.000 0.500 0.000
0.500 0.000 0.000
0.000 0.000 0.000
0.500 0.500 0.500
0.000 0.000 0.500